[1]
A plane-wave DFT calculation with meta-GGA SCAN was carried out for Mg2TePb at its PBEsol-relaxed geometry.

```
4
Lattice="-0.614 2.533 -2.952 0.607 -1.131 -3.723 -7.520 -1.933 -2.721" Properties=species:S:1:pos:R:3 pbc="T T T"
Mg -2.080 -0.196 -2.362
Mg -5.448 -0.336 -7.034
Pb 0.000 0.000 0.000
Te -3.764 -0.266 -4.698
```

Calculated values
ρ   6.00 Mg/m³
Density of states at the Fermi level   0.90 states/eV/cell
Distance to the lowest polymorph of the same formula   0.0 meV per atom
Total energy   -31.18 eV/atom

***

[2]
A plane-wave DFT calculation with meta-GGA SCAN was carried out for Mg2TePb at its PBEsol-relaxed geometry.

```
4
Lattice="3.813 0.000 0.000 0.000 5.198 0.004 0.000 -1.088 5.083" Properties=species:S:1:pos:R:3 pbc="T T T"
Mg 0.000 2.599 0.002
Mg 0.000 -0.544 2.541
Pb 1.907 0.000 0.000
Te 1.907 2.055 2.543
```

Calculated values
ρ   6.32 Mg/m³
Density of states at the Fermi level   1.57 states/eV/cell
Distance to the lowest polymorph of the same formula   212.7 meV per atom
Total energy   -30.97 eV/atom

***

Number 1: formation energy (no corrections) -434 meV per atom. Number 2: formation energy (no corrections) -221 meV per atom.